Pm7Sm | PBE | relaxed

The formation enthalpy at 0 K is 0.07 eV/f.u. Its total magnetization is 0.00 Bohr magnetons per cell. The value obtained for the mass density is 7.1 g/cm³. For the density of states at the Fermi level, the calculation gives 9.87 states/eV/f.u. Its electronic total energy is -4.74 eV/atom.

The space group is Fm-3m (No. 225) and the conventional cell measures 10.309, 10.309 and 10.309 Å, with angles of 90.00, 90.00 and 90.00 degrees. Symmetry generates all atoms from Pm at (0.000, 0.000, 0.000), Pm at (0.000, 0.250, 0.250) and Sm at (0.000, 0.000, 0.500).